[1]
BaTm2Cd3: relaxed, PBE.

Computed properties:
Total moment, μB/f.u.: 0.0
Volume, Å³ per cell: 172.7
DFT formation energy, eV per atom: -0.285

Geometry as CIF:
```
data_BaTm2Cd3
_chemical_formula_sum 'Ba1 Tm2 Cd3'
_symmetry_space_group_name_H-M 'P 1'
_symmetry_Int_Tables_number 1
_symmetry_space_group_name_Hall 'P 1'
_cell_length_a 3.808
_cell_length_b 3.808
_cell_length_c 11.909
_cell_angle_alpha 90.00
_cell_angle_beta 90.00
_cell_angle_gamma 90.00
loop_
_atom_site_label
_atom_site_fract_x
_atom_site_fract_y
_atom_site_fract_z
Ba1 0.000 0.000 0.000
Tm1 0.000 0.000 0.349
Tm2 0.000 0.000 0.651
Cd1 0.500 0.500 0.208
Cd2 0.500 0.500 0.500
Cd3 0.500 0.500 0.792
```

[2]
TlNi4Ir: relaxed, PBE.

Computed properties:
Total moment, μB/f.u.: 1.9
Volume, Å³ per cell: 79.3
DFT formation energy, eV per atom: 0.265

Geometry as CIF:
```
data_TlNi4Ir
_chemical_formula_sum 'Tl1 Ni4 Ir1'
_symmetry_space_group_name_H-M 'P 1'
_symmetry_Int_Tables_number 1
_symmetry_space_group_name_Hall 'P 1'
_cell_length_a 4.821
_cell_length_b 4.821
_cell_length_c 4.821
_cell_angle_alpha 60.00
_cell_angle_beta 60.00
_cell_angle_gamma 60.00
loop_
_atom_site_label
_atom_site_fract_x
_atom_site_fract_y
_atom_site_fract_z
Tl1 0.000 0.000 0.000
Ni1 0.376 0.376 0.376
Ni2 0.376 0.376 0.872
Ni3 0.376 0.872 0.376
Ni4 0.872 0.376 0.376
Ir1 0.750 0.750 0.750
```

Please write out number 1 again, unchanged.
BaTm2Cd3: relaxed, PBE.

Computed properties:
Total moment, μB/f.u.: 0.0
Volume, Å³ per cell: 172.7
DFT formation energy, eV per atom: -0.285

Geometry as CIF:
```
data_BaTm2Cd3
_chemical_formula_sum 'Ba1 Tm2 Cd3'
_symmetry_space_group_name_H-M 'P 1'
_symmetry_Int_Tables_number 1
_symmetry_space_group_name_Hall 'P 1'
_cell_length_a 3.808
_cell_length_b 3.808
_cell_length_c 11.909
_cell_angle_alpha 90.00
_cell_angle_beta 90.00
_cell_angle_gamma 90.00
loop_
_atom_site_label
_atom_site_fract_x
_atom_site_fract_y
_atom_site_fract_z
Ba1 0.000 0.000 0.000
Tm1 0.000 0.000 0.349
Tm2 0.000 0.000 0.651
Cd1 0.500 0.500 0.208
Cd2 0.500 0.500 0.500
Cd3 0.500 0.500 0.792
```